## Ac7Au2N2 (PBE)

Data for an optimized crystal structure of Ac7Au2N2.

The structure in extended XYZ format:
```
11
Lattice="7.9219 -3.7029 0.0000 7.9219 3.7029 0.0000 -0.5825 0.0000 6.3619" Properties=species:S:1:pos:R:3 pbc="T T T"
Ac 0.0000 0.0000 0.0000
Ac 4.7943 1.8683 1.5475
Ac 6.1383 0.0000 4.8455
Ac 10.4671 1.8683 4.8144
Ac 4.7943 -1.8683 1.5475
Ac 9.1231 0.0000 1.5164
Ac 10.4671 -1.8683 4.8144
Au 7.6307 2.3060 3.1809
Au 7.6307 -2.3060 3.1809
N 3.9082 0.0000 6.1537
N 11.3531 0.0000 0.2082
```

## Properties
The value obtained for the energy relative to the elements, uncorrected is -5.620 eV/f.u. Its uncorrected energy is -57.58 eV for the cell shown. Its space group is C2/m.